DyYScIn: optimized geometry, PBE.

abc: 7.5639 7.5639 7.5639
angles: 90.00 90.00 90.00
Atoms (fractional coordinates):
Dy (0.0000, 0.0000, 0.0000)
Dy (0.0000, 0.5000, 0.5000)
Dy (0.5000, 0.0000, 0.5000)
Dy (0.5000, 0.5000, 0.0000)
Y (0.0000, 0.0000, 0.5000)
Y (0.0000, 0.5000, 0.0000)
Y (0.5000, 0.0000, 0.0000)
Y (0.5000, 0.5000, 0.5000)
Sc (0.2500, 0.2500, 0.7500)
Sc (0.2500, 0.7500, 0.2500)
Sc (0.7500, 0.2500, 0.2500)
Sc (0.7500, 0.7500, 0.7500)
In (0.2500, 0.2500, 0.2500)
In (0.2500, 0.7500, 0.7500)
In (0.7500, 0.2500, 0.7500)
In (0.7500, 0.7500, 0.2500)

Computed properties:
Its density of states at the Fermi level is 24.47 states/eV/cell. The final energy comes out at -5.20 eV/atom. As for the crystal system: cubic.